(1)
# ZnRe2Si

A relaxed structure of ZnRe2Si (GGA-PBE, Alexandria).

a b c (Å): 4.638 4.638 4.638
angles (deg): 130.45 130.45 72.69
Sites, in units of the cell vectors:
Re1 0.000 0.000 0.000
Re2 0.250 0.750 0.500
Si1 0.500 0.500 0.000
Zn1 0.750 0.250 0.500

Computed properties:
For the density of states at the Fermi level, the calculation gives 0.613 states/eV/atom. As for the space group: I-4m2, No. 119. For the total energy, the calculation gives -7.693 eV per atom.

---

(2)
# ZnRe2Si

A relaxed structure of ZnRe2Si (GGA-PBE, Alexandria).

a b c (Å): 8.475 8.475 8.475
angles (deg): 19.16 19.16 19.16
Sites, in units of the cell vectors:
Re1 0.995 0.995 0.995
Re2 0.505 0.505 0.505
Si1 0.250 0.250 0.250
Zn1 0.750 0.750 0.750

Computed properties:
For the density of states at the Fermi level, the calculation gives 0.393 states/eV/atom. As for the space group: R-3m, No. 166. For the total energy, the calculation gives -7.793 eV per atom.

---

(3)
# Zn2ReSi2

A relaxed structure of Zn2ReSi2 (GGA-PBE, Alexandria).

a b c (Å): 6.386 6.386 3.622
angles (deg): 90.00 90.00 90.00
Sites, in units of the cell vectors:
Re1 0.000 0.000 0.000
Re2 0.500 0.500 0.000
Zn1 0.168 0.668 0.500
Zn2 0.668 0.832 0.500
Zn3 0.832 0.332 0.500
Zn4 0.332 0.168 0.500
Si1 0.365 0.865 0.000
Si2 0.865 0.635 0.000
Si3 0.635 0.135 0.000
Si4 0.135 0.365 0.000

Computed properties:
For the density of states at the Fermi level, the calculation gives 0.603 states/eV/atom. As for the space group: P4/mbm, No. 127. For the total energy, the calculation gives -4.969 eV per atom.

---

(4)
# ZnRe2Si

A relaxed structure of ZnRe2Si (GGA-PBE, Alexandria).

a b c (Å): 2.764 2.764 8.332
angles (deg): 90.00 90.00 114.55
Sites, in units of the cell vectors:
Re1 0.000 0.000 0.017
Re2 0.000 0.000 0.483
Si1 0.500 0.500 0.250
Zn1 0.500 0.500 0.750

Computed properties:
For the density of states at the Fermi level, the calculation gives 0.556 states/eV/atom. As for the space group: Cmmm, No. 65. For the total energy, the calculation gives -7.685 eV per atom.

---

(5)
# ZnRe2Si

A relaxed structure of ZnRe2Si (GGA-PBE, Alexandria).

a b c (Å): 3.058 3.058 5.941
angles (deg): 90.00 90.00 90.00
Sites, in units of the cell vectors:
Re1 0.000 0.000 0.991
Re2 0.500 0.500 0.269
Si1 0.000 0.000 0.502
Zn1 0.500 0.500 0.737

Computed properties:
For the density of states at the Fermi level, the calculation gives 0.150 states/eV/atom. As for the space group: P4mm, No. 99. For the total energy, the calculation gives -7.926 eV per atom.

---

(6)
# ZnRe2Si

A relaxed structure of ZnRe2Si (GGA-PBE, Alexandria).

a b c (Å): 7.308 7.308 5.710
angles (deg): 50.21 50.21 90.00
Sites, in units of the cell vectors:
Re1 0.560 0.125 0.250
Re2 0.190 0.625 0.250
Re3 0.375 0.440 0.750
Re4 0.875 0.810 0.750
Zn1 0.000 0.000 0.000
Zn2 0.750 0.250 0.500
Si1 0.500 0.500 0.000
Si2 0.250 0.750 0.500

Computed properties:
For the density of states at the Fermi level, the calculation gives 0.432 states/eV/atom. As for the space group: I-42d, No. 122. For the total energy, the calculation gives -7.265 eV per atom.

---

Number 1: density 13.7 Mg/m³. Number 2: density 13.5 Mg/m³. Number 3: density 8.4 Mg/m³. Number 4: density 13.4 Mg/m³. Number 5: density 13.9 Mg/m³. Number 6: density 11.9 Mg/m³.